! PmGdPu | Alexandria | PBE | relaxed; values from VASP
&SYSTEM
  ibrav = 0, nat = 3, ntyp = 3
/
ATOMIC_SPECIES
Gd 157.25 Gd.upf
Pm 145.00 Pm.upf
Pu 244.00 Pu.upf
ATOMIC_POSITIONS crystal
Gd 0.168 0.667 0.333
Pm 0.166 0.000 0.000
Pu 0.666 0.333 0.667
CELL_PARAMETERS angstrom
-0.242 -0.782 -3.199
5.360 -1.898 0.059
-4.285 -3.545 1.190
! energy relative to the elements: 0.209 eV/atom
! total magnetization: 0.544 μB per atom
! DOS at the Fermi energy: 10.17 states/eV/f.u.